This record from Alexandria via LeMat-Bulk describes CrH8C4NO10 after structural relaxation. The functional is PBE with a Hubbard U.

```
CrH8C4NO10
1.0
-1.228 -2.288 4.286
-1.093 -3.983 -2.839
9.647 -3.765 1.078
H C O Cr N
8 4 10 1 1
Direct
0.866 0.866 0.937
0.054 0.279 0.597
0.822 0.053 0.066
0.969 0.743 0.396
0.279 0.054 0.597
0.053 0.822 0.066
0.743 0.969 0.396
0.105 0.105 0.974
0.746 0.533 0.740
0.282 0.494 0.251
0.494 0.282 0.251
0.533 0.746 0.740
0.226 0.226 0.557
0.146 0.528 0.156
0.759 0.399 0.633
0.263 0.623 0.359
0.889 0.505 0.832
0.505 0.889 0.832
0.528 0.146 0.156
0.795 0.795 0.434
0.623 0.263 0.359
0.399 0.759 0.633
0.510 0.510 0.497
0.964 0.964 0.010
```

Properties
Crystal system: monoclinic
DFT total energy in eV/atom: -6.47